(1)
The following is a DFT calculation (PBE-GGA) of crystalline Cu2RuPt2 at its relaxed geometry.

Properties
- formation energy (eV/atom) = 0.261
- energy above the lowest structure with this stoichiometry (meV per atom) = 54.1

Unit cell a=7.2672 b=7.2672 c=2.7920 alpha=90.00 beta=90.00 gamma=90.00
Closest atoms and distances in Å follow each position.
Sites, in units of the cell vectors:
Cu  0.1639  0.3361  0.0000  6 Pt 2.50-2.59, 2 Cu 2.79
Cu  0.3361  0.8361  0.0000  6 Pt 2.50-2.59, 2 Cu 2.79
Cu  0.6639  0.1639  0.0000  6 Pt 2.50-2.59, 2 Cu 2.79
Cu  0.8361  0.6639  0.0000  6 Pt 2.50-2.59, 2 Cu 2.79
Ru  0.0000  0.0000  0.5000  2 Ru 2.79, 4 Pt 2.83, 8 Cu 3.06
Ru  0.5000  0.5000  0.5000  2 Ru 2.79, 4 Pt 2.83, 8 Cu 3.06
Pt  0.1349  0.6349  0.5000  6 Cu 2.50-2.59, 3 Pt 2.77-2.79
Pt  0.3651  0.1349  0.5000  6 Cu 2.50-2.59, 3 Pt 2.77-2.79
Pt  0.6349  0.8651  0.5000  6 Cu 2.50-2.59, 3 Pt 2.77-2.79
Pt  0.8651  0.3651  0.5000  6 Cu 2.50-2.59, 3 Pt 2.77-2.79

***

(2)
The following is a DFT calculation (PBE-GGA) of crystalline Nb3CoB7 at its relaxed geometry.

Properties
- formation energy (eV/atom) = -0.615

Unit cell a=7.4074 b=7.4074 c=8.7949 alpha=90.00 beta=90.00 gamma=155.18
Closest atoms and distances in Å follow each position.
Sites, in units of the cell vectors:
Nb  0.1065  0.8935  0.5541  11 B 2.39-2.48
Nb  0.1065  0.8935  0.9459  11 B 2.39-2.48
Nb  0.2472  0.7528  0.2500  11 B 2.46-2.69
Nb  0.7528  0.2472  0.7500  11 B 2.46-2.69
Nb  0.8935  0.1065  0.0541  11 B 2.39-2.48
Nb  0.8935  0.1065  0.4459  11 B 2.39-2.48
Co  0.0485  0.9515  0.2500  10 B 2.16-2.31
Co  0.9515  0.0485  0.7500  10 B 2.16-2.31
B  0.2727  0.7273  0.5323  3 B 1.73-1.81
B  0.2727  0.7273  0.9677  3 B 1.73-1.81
B  0.3678  0.6322  0.6509  3 B 1.73-1.77
B  0.3678  0.6322  0.8491  3 B 1.73-1.77
B  0.4328  0.5672  0.2500  2 B 1.81
B  0.4852  0.5148  0.5939  3 B 1.71-1.81
B  0.4852  0.5148  0.9061  3 B 1.71-1.81
B  0.5148  0.4852  0.0939  3 B 1.71-1.81
B  0.5148  0.4852  0.4061  3 B 1.71-1.81
B  0.5672  0.4328  0.7500  2 B 1.81
B  0.6322  0.3678  0.1509  3 B 1.73-1.77
B  0.6322  0.3678  0.3491  3 B 1.73-1.77
B  0.7273  0.2727  0.0323  3 B 1.73-1.81
B  0.7273  0.2727  0.4677  3 B 1.73-1.81

***

(3)
The following is a DFT calculation (PBE-GGA) of crystalline TbYAlRu at its relaxed geometry.

Properties
- formation energy (eV/atom) = -0.342

Unit cell a=7.0325 b=7.0325 c=7.0325 alpha=90.00 beta=90.00 gamma=90.00
Closest atoms and distances in Å follow each position.
Sites, in units of the cell vectors:
Tb  0.0000  0.0000  0.0000  4 Ru 3.05, 4 Al 3.05
Tb  0.0000  0.5000  0.5000  4 Ru 3.05, 4 Al 3.05
Tb  0.5000  0.0000  0.5000  4 Ru 3.05, 4 Al 3.05
Tb  0.5000  0.5000  0.0000  4 Ru 3.05, 4 Al 3.05
Y  0.0000  0.0000  0.5000  4 Ru 3.05, 4 Al 3.05
Y  0.0000  0.5000  0.0000  4 Al 3.05, 4 Ru 3.05
Y  0.5000  0.0000  0.0000  4 Al 3.05, 4 Ru 3.05
Y  0.5000  0.5000  0.5000  4 Ru 3.05, 4 Al 3.05
Al  0.2500  0.2500  0.7500  4 Tb 3.05, 4 Y 3.05
Al  0.2500  0.7500  0.2500  4 Tb 3.05, 4 Y 3.05
Al  0.7500  0.2500  0.2500  4 Tb 3.05, 4 Y 3.05
Al  0.7500  0.7500  0.7500  4 Tb 3.05, 4 Y 3.05
Ru  0.2500  0.2500  0.2500  4 Tb 3.05, 4 Y 3.05
Ru  0.2500  0.7500  0.7500  4 Tb 3.05, 4 Y 3.05
Ru  0.7500  0.2500  0.7500  4 Tb 3.05, 4 Y 3.05
Ru  0.7500  0.7500  0.2500  4 Tb 3.05, 4 Y 3.05

***

(4)
The following is a DFT calculation (PBE-GGA) of crystalline Sb2TeCl at its relaxed geometry.

Properties
- energy above the lowest structure with this stoichiometry (meV per atom) = 243.2
- energy relative to the elements, uncorrected (eV per atom) = 0.09

Unit cell a=5.2478 b=5.2478 c=7.5490 alpha=90.00 beta=90.00 gamma=90.00
Closest atoms and distances in Å follow each position.
Sites, in units of the cell vectors:
Sb  0.0000  0.0000  0.0000  4 Sb 3.23, 4 Te 3.23
Sb  0.0000  0.5000  0.2500  4 Cl 3.23, 4 Sb 3.23
Sb  0.5000  0.0000  0.7500  4 Cl 3.23, 4 Sb 3.23
Sb  0.5000  0.5000  0.5000  4 Sb 3.23, 4 Te 3.23
Te  0.0000  0.5000  0.7500  4 Cl 3.23, 4 Sb 3.23
Te  0.5000  0.0000  0.2500  4 Cl 3.23, 4 Sb 3.23
Cl  0.0000  0.0000  0.5000  4 Sb 3.23, 4 Te 3.23
Cl  0.5000  0.5000  0.0000  4 Sb 3.23, 4 Te 3.23

***

(5)
The following is a DFT calculation (PBE-GGA) of crystalline CeThPa2Sb4 at its relaxed geometry.

Properties
- energy relative to the elements, uncorrected (eV per atom) = -0.70

Unit cell a=7.6709 b=4.4273 c=7.6966 alpha=90.00 beta=109.38 gamma=90.00
Closest atoms and distances in Å follow each position.
Sites, in units of the cell vectors:
Ce  0.0000  0.0000  0.0000  6 Sb 3.16-3.17
Th  0.5000  0.5000  0.0000  6 Sb 3.18
Pa  0.0000  0.5000  0.5000  6 Sb 3.09
Pa  0.5000  0.0000  0.5000  6 Sb 3.11
Sb  0.2456  0.0000  0.7412  3 Pa 3.09-3.11, 1 Ce 3.16, 2 Th 3.18
Sb  0.2514  0.5000  0.2582  3 Pa 3.09-3.11, 2 Ce 3.17, 1 Th 3.18
Sb  0.7486  0.5000  0.7418  3 Pa 3.09-3.11, 2 Ce 3.17, 1 Th 3.18
Sb  0.7544  0.0000  0.2588  3 Pa 3.09-3.11, 1 Ce 3.16, 2 Th 3.18

***

(6)
The following is a DFT calculation (PBE-GGA) of crystalline Li6Mg2Pd at its relaxed geometry.

Properties
- formation energy (eV/atom) = -0.115
- energy above the lowest structure with this stoichiometry (meV per atom) = 37.2

Unit cell a=6.6491 b=6.6491 c=4.0760 alpha=90.00 beta=90.00 gamma=116.84
Closest atoms and distances in Å follow each position.
Sites, in units of the cell vectors:
Li  0.0476  0.3310  0.0000  4 Li 2.59-2.64, 1 Pd 2.69
Li  0.2052  0.2052  0.5000  5 Li 2.60-2.86, 2 Pd 2.89, 2 Mg 2.91
Li  0.3310  0.0476  0.0000  4 Li 2.59-2.64, 1 Pd 2.69
Li  0.6690  0.9524  0.0000  4 Li 2.59-2.64, 1 Pd 2.69
Li  0.7948  0.7948  0.5000  5 Li 2.60-2.86, 2 Pd 2.89, 2 Mg 2.91
Li  0.9524  0.6690  0.0000  4 Li 2.59-2.64, 1 Pd 2.69
Mg  0.3182  0.6818  0.5000  2 Pd 2.90, 10 Li 2.91-3.14
Mg  0.6818  0.3182  0.5000  2 Pd 2.90, 10 Li 2.91-3.14
Pd  0.5000  0.5000  0.0000  8 Li 2.69-2.89, 4 Mg 2.90